[1]
Computed, not measured: SiRu5 after structural relaxation at the GGA-PBE level of DFT.

The space group is P6/mmm (No. 191) and the conventional cell measures 4.8504, 4.8504 and 4.6561 Å, with angles of 90.00, 90.00 and 120.00 degrees. The asymmetric unit holds Si at (0.0000, 0.0000, 0.0000), Ru at (0.0000, 0.5000, 0.5000) and Ru at (0.3333, 0.6667, 0.0000).

The value obtained for the total moment is 0.00 μB/f.u. The final energy comes out at -7.905 eV per atom. Its formation energy (no corrections) is 0.729 eV per atom.

[2]
Computed, not measured: Si4Ru after structural relaxation at the GGA-PBE level of DFT.

The space group is Im-3m (No. 229) and the conventional cell measures 5.5119, 5.5119 and 5.5119 Å, with angles of 90.00, 90.00 and 90.00 degrees. The asymmetric unit holds Si at (0.2500, 0.2500, 0.2500) and Ru at (0.0000, 0.0000, 0.0000).

The value obtained for the total moment is 0.00 μB/f.u. The final energy comes out at -5.920 eV per atom. Its formation energy (no corrections) is 0.274 eV per atom.

Copy entry 1 word for word.
Computed, not measured: SiRu5 after structural relaxation at the GGA-PBE level of DFT.

The space group is P6/mmm (No. 191) and the conventional cell measures 4.8504, 4.8504 and 4.6561 Å, with angles of 90.00, 90.00 and 120.00 degrees. The asymmetric unit holds Si at (0.0000, 0.0000, 0.0000), Ru at (0.0000, 0.5000, 0.5000) and Ru at (0.3333, 0.6667, 0.0000).

The value obtained for the total moment is 0.00 μB/f.u. The final energy comes out at -7.905 eV per atom. Its formation energy (no corrections) is 0.729 eV per atom.